Sc3TlIn2Pd2 (PBE-GGA, relaxed); volume = 166 Å³/cell; total DFT energy (no corrections) = -5.286 eV per atom; symmetry = No. 38; size of the total moment = 0.0 μB per formula unit
1.0
3.3621 0.0000 0.0000
0.0000 6.5173 3.7891
0.0000 -6.5173 3.7891
In Pd Sc Tl
2 2 3 1
direct
0.0000 0.9973 0.7603
0.0000 0.7603 0.9973
0.0000 0.6712 0.3335
0.0000 0.3335 0.6712
0.5000 0.9994 0.4160
0.5000 0.5857 0.5857
0.5000 0.4160 0.9994
0.0000 0.2366 0.2366